Tl2In6Pb | PBE-GGA | relaxed

It has space group P-31m (No. 162), with a = 9.6060 Å, b = 9.6060 Å, c = 3.2557 Å, α = 90.00°, β = 90.00° and γ = 120.00°. Symmetry generates all atoms from Tl at (0.3333, 0.6667, 0.0000), In at (0.0000, 0.3361, 0.6878) and Pb at (0.0000, 0.0000, 0.5000).

As for the crystal system: trigonal. Its energy relative to the elements is 37.3 meV per atom. Its calculated total energy is -2.726 eV/atom.